Version 1
First-principles (PBE) data for a relaxed structure of ScHgAsO, as listed in OQMD.

Cell: 4.1582 5.6014 6.6231 Å, 90.00 90.00 90.00°
Space group Pmc2_1 (No. 26)
Asymmetric unit:
Sc (0.0000, 0.2481, 0.0000) x2
Hg (0.5000, 0.2580, 0.6362) x2
As (0.0000, 0.2502, 0.4114) x2
O (0.5000, 0.2493, 0.9847) x2

Output
Size of the total moment (μB/cell): 0.01

***

Version 2
First-principles (PBE) data for a relaxed structure of ScHgAsO, as listed in OQMD.

Cell: 4.4770 6.5889 6.4051 Å, 90.00 90.00 90.00°
Space group Pmc2_1 (No. 26)
Asymmetric unit:
Sc (0.0000, 0.1044, 0.0000) x2
Hg (0.5000, 0.3590, 0.4458) x2
As (0.5000, 0.2674, 0.8342) x2
O (0.0000, 0.1226, 0.3064) x2

Output
Size of the total moment (μB/cell): 0.00

***

Pick version 2: it beats the second-best structure by 0.071 eV/atom.

***

Version 1
First-principles (PBE) data for a relaxed structure of HgAsSeO, as listed in OQMD.

Cell: 4.3176 4.3176 9.8238 Å, 90.00 90.00 90.00°
Space group P4/nmm (No. 129, origin choice 2)
Asymmetric unit:
Hg (0.2500, 0.7500, 0.0000) x2
As (0.2500, 0.2500, 0.4562) x2
Se (0.2500, 0.2500, 0.2079) x2
O (0.2500, 0.7500, 0.5000) x2

***

Version 2
First-principles (PBE) data for a relaxed structure of HgAsSeO, as listed in OQMD.

Cell: 4.4619 8.6441 5.4561 Å, 90.00 90.00 90.00°
Space group Pmc2_1 (No. 26)
Asymmetric unit:
Hg (0.0000, 0.1623, 0.0000) x2
As (0.5000, 0.3663, 0.6622) x2
Se (0.0000, 0.2004, 0.4890) x2
O (0.5000, 0.4639, 0.9763) x2

***

Pick version 2: it beats the second-best structure by 0.133 eV/atom.

***

Version 1
First-principles (PBE) data for a relaxed structure of SmHgAsO, as listed in OQMD.

Cell: 4.1715 4.1715 9.2170 Å, 90.00 90.00 90.00°
Space group P4/nmm (No. 129, origin choice 2)
Asymmetric unit:
Sm (0.2500, 0.2500, 0.1170) x2
Hg (0.2500, 0.7500, 0.5000) x2
As (0.2500, 0.2500, 0.7070) x2
O (0.2500, 0.7500, 0.0000) x2

Output
Size of the total moment (μB/cell): 0.00

***

Version 2
First-principles (PBE) data for a relaxed structure of SmHgAsO, as listed in OQMD.

Cell: 6.0322 6.0322 4.8407 Å, 90.00 90.00 90.00°
Space group P4/nmm (No. 129, origin choice 2)
Asymmetric unit:
Sm (0.2500, 0.7500, 0.0000) x2
Hg (0.2500, 0.2500, 0.4983) x2
As (0.2500, 0.2500, 0.9983) x2
O (0.2500, 0.7500, 0.5000) x2

Output
Size of the total moment (μB/cell): 0.00

***

Version 3
First-principles (PBE) data for a relaxed structure of SmHgAsO, as listed in OQMD.

Cell: 4.4901 6.6766 6.2290 Å, 90.00 90.00 90.00°
Space group Pmc2_1 (No. 26)
Asymmetric unit:
Sm (0.0000, 0.2369, 0.0000) x2
Hg (0.5000, 0.3508, 0.5925) x2
As (0.0000, 0.2059, 0.4864) x2
O (0.5000, 0.2975, 0.0063) x2

Output
Size of the total moment (μB/cell): 0.00

***

Pick version 1: it beats the second-best structure by 0.289 eV/atom.

***

Version 1
First-principles (PBE) data for a relaxed structure of YHgAsO, as listed in OQMD.

Cell: 5.8998 5.8998 4.8202 Å, 90.00 90.00 90.00°
Space group P4/nmm (No. 129, origin choice 2)
Asymmetric unit:
Y (0.2500, 0.7500, 0.0000) x2
Hg (0.2500, 0.2500, 0.4994) x2
As (0.2500, 0.2500, 0.9995) x2
O (0.2500, 0.7500, 0.5000) x2

Output
Size of the total moment (μB/cell): 0.00

***

Version 2
First-principles (PBE) data for a relaxed structure of YHgAsO, as listed in OQMD.

Cell: 4.4481 5.9906 6.5260 Å, 90.00 90.00 90.00°
Space group Pmc2_1 (No. 26)
Asymmetric unit:
Y (0.0000, 0.2466, 0.0000) x2
Hg (0.5000, 0.2190, 0.6302) x2
As (0.0000, 0.2588, 0.4450) x2
O (0.5000, 0.2335, 0.9903) x2

Output
Size of the total moment (μB/cell): 0.00

***

Pick version 2: it beats the second-best structure by 0.231 eV/atom.

***

Version 1
First-principles (PBE) data for a relaxed structure of YHgAsO, as listed in OQMD.

Cell: 4.2491 6.2501 6.8080 Å, 90.00 90.00 90.00°
Space group Pmc2_1 (No. 26)
Asymmetric unit:
Y (0.0000, 0.0358, 0.0000) x2
Hg (0.5000, 0.4189, 0.3990) x2
As (0.5000, 0.2100, 0.7374) x2
O (0.0000, 0.2114, 0.2741) x2

Output
Size of the total moment (μB/cell): 0.00

***

Version 2
First-principles (PBE) data for a relaxed structure of YHgAsO, as listed in OQMD.

Cell: 4.1186 4.1186 9.1953 Å, 90.00 90.00 90.00°
Space group P4/nmm (No. 129, origin choice 2)
Asymmetric unit:
Y (0.2500, 0.2500, 0.1113) x2
Hg (0.2500, 0.7500, 0.5000) x2
As (0.2500, 0.2500, 0.7107) x2
O (0.2500, 0.7500, 0.0000) x2

Output
Size of the total moment (μB/cell): 0.00

***

Pick version 2: it beats the second-best structure by 0.254 eV/atom.

***

Version 1
First-principles (PBE) data for a relaxed structure of TlHgAsS3, as listed in OQMD.

Cell: 8.3638 9.2814 16.6294 Å, 90.00 90.00 90.00°
Space group Cmce (No. 64)
Asymmetric unit:
Tl (0.0000, 0.1664, 0.0504) x8
Hg (0.2500, 0.1716, 0.7500) x8
As (0.0000, 0.0744, 0.3908) x8
S (0.0000, 0.1444, 0.2610) x8
S (0.2158, 0.0773, 0.6081) x16

***

Version 2
First-principles (PBE) data for a relaxed structure of TlHgAsS3, as listed in OQMD.

Cell: 11.6476 11.6476 10.5488 Å, 90.00 90.00 90.00°
Space group I-42m (No. 121)
Asymmetric unit:
Tl (0.0000, 0.0000, 0.1559) x4
Tl (0.0000, 0.5000, 0.2500) x4
Hg (0.0000, 0.2728, 0.5000) x8
As (0.2480, 0.2480, 0.2718) x8
S (0.1226, 0.3252, 0.9111) x16
S (0.1289, 0.1289, 0.6576) x8

***

Pick version 1: it beats the second-best structure by 0.090 eV/atom.

***

Version 1
First-principles (PBE) data for a relaxed structure of SrHgAs, as listed in OQMD.

Cell: 7.2787 7.2787 7.2787 Å, 90.00 90.00 90.00°
Space group F-43m (No. 216)
Asymmetric unit:
Sr (0.0000, 0.0000, 0.0000) x4
Hg (0.2500, 0.2500, 0.2500) x4
As (0.2500, 0.2500, 0.7500) x4

***

Version 2
First-principles (PBE) data for a relaxed structure of SrHgAs, as listed in OQMD.

Cell: 7.2019 7.2019 7.2019 Å, 90.00 90.00 90.00°
Space group F-43m (No. 216)
Asymmetric unit:
Sr (0.0000, 0.0000, 0.0000) x4
Hg (0.0000, 0.0000, 0.5000) x4
As (0.2500, 0.2500, 0.7500) x4

***

Pick version 2: it beats the second-best structure by 0.232 eV/atom.

***

Version 1
First-principles (PBE) data for a relaxed structure of TmHgAs, as listed in OQMD.

Cell: 6.8457 6.8457 6.8457 Å, 90.00 90.00 90.00°
Space group F-43m (No. 216)
Asymmetric unit:
Tm (0.0000, 0.0000, 0.0000) x4
Hg (0.2500, 0.2500, 0.2500) x4
As (0.2500, 0.2500, 0.7500) x4

Output
Size of the total moment (μB/cell): 0.01

***

Version 2
First-principles (PBE) data for a relaxed structure of TmHgAs, as listed in OQMD.

Cell: 6.7903 6.7903 6.7903 Å, 90.00 90.00 90.00°
Space group F-43m (No. 216)
Asymmetric unit:
Tm (0.0000, 0.0000, 0.0000) x4
Hg (0.0000, 0.0000, 0.5000) x4
As (0.2500, 0.2500, 0.7500) x4

Output
Size of the total moment (μB/cell): 0.04

***

Pick version 1: it beats the second-best structure by 0.225 eV/atom.

***

Version 1
First-principles (PBE) data for a relaxed structure of UHgAs, as listed in OQMD.

Cell: 6.8833 6.8833 6.8833 Å, 90.00 90.00 90.00°
Space group F-43m (No. 216)
Asymmetric unit:
U (0.0000, 0.0000, 0.0000) x4
Hg (0.2500, 0.2500, 0.7500) x4
As (0.0000, 0.0000, 0.5000) x4

Output
Size of the total moment (μB/cell): 11.43

***

Version 2
First-principles (PBE) data for a relaxed structure of UHgAs, as listed in OQMD.

Cell: 6.9417 6.9417 6.9417 Å, 90.00 90.00 90.00°
Space group F-43m (No. 216)
Asymmetric unit:
U (0.0000, 0.0000, 0.0000) x4
Hg (0.2500, 0.2500, 0.2500) x4
As (0.2500, 0.2500, 0.7500) x4

Output
Size of the total moment (μB/cell): 11.97

***

Pick version 2: it beats the second-best structure by 0.380 eV/atom.

***

Version 1
First-principles (PBE) data for a relaxed structure of YHgAs, as listed in OQMD.

Cell: 6.8308 6.8308 6.8308 Å, 90.00 90.00 90.00°
Space group F-43m (No. 216)
Asymmetric unit:
Y (0.0000, 0.0000, 0.0000) x4
Hg (0.0000, 0.0000, 0.5000) x4
As (0.2500, 0.2500, 0.7500) x4

Output
Size of the total moment (μB/cell): 0.02

***

Version 2
First-principles (PBE) data for a relaxed structure of YHgAs, as listed in OQMD.

Cell: 6.9304 6.9304 6.9304 Å, 90.00 90.00 90.00°
Space group F-43m (No. 216)
Asymmetric unit:
Y (0.0000, 0.0000, 0.0000) x4
Hg (0.2500, 0.2500, 0.2500) x4
As (0.2500, 0.2500, 0.7500) x4

Output
Size of the total moment (μB/cell): 0.00

***

Pick version 2: it beats the second-best structure by 0.169 eV/atom.

***

Version 1
First-principles (PBE) data for a relaxed structure of HoInAsO, as listed in OQMD.

Cell: 4.0903 7.6404 5.9127 Å, 90.00 90.00 90.00°
Space group Pmc2_1 (No. 26)
Asymmetric unit:
Ho (0.0000, 0.1867, 0.0000) x2
In (0.5000, 0.3947, 0.5890) x2
As (0.0000, 0.1852, 0.4906) x2
O (0.5000, 0.2919, 0.9760) x2

Output
Size of the total moment (μB/cell): 0.04

***

Version 2
First-principles (PBE) data for a relaxed structure of HoInAsO, as listed in OQMD.

Cell: 4.0704 4.0704 9.7738 Å, 90.00 90.00 90.00°
Space group P4/nmm (No. 129, origin choice 2)
Asymmetric unit:
Ho (0.2500, 0.2500, 0.1034) x2
In (0.2500, 0.7500, 0.5000) x2
As (0.2500, 0.2500, 0.7219) x2
O (0.2500, 0.7500, 0.0000) x2

Output
Size of the total moment (μB/cell): 0.03

***

Pick version 2: it beats the second-best structure by 0.178 eV/atom.

***

Version 1
First-principles (PBE) data for a relaxed structure of HoInAsO, as listed in OQMD.

Cell: 4.4410 4.4410 8.3970 Å, 90.00 90.00 90.00°
Space group P4/nmm (No. 129, origin choice 2)
Asymmetric unit:
Ho (0.2500, 0.7500, 0.0000) x2
In (0.2500, 0.2500, 0.4062) x2
As (0.2500, 0.2500, 0.7992) x2
O (0.2500, 0.7500, 0.5000) x2

Output
Size of the total moment (μB/cell): 0.02

***

Version 2
First-principles (PBE) data for a relaxed structure of HoInAsO, as listed in OQMD.

Cell: 5.4841 5.9732 5.7688 Å, 90.00 90.00 90.00°
Space group Pmc2_1 (No. 26)
Asymmetric unit:
Ho (0.0000, 0.1827, 0.0000) x2
In (0.5000, 0.2282, 0.4015) x2
As (0.5000, 0.2756, 0.8923) x2
O (0.0000, 0.1381, 0.3594) x2

Output
Size of the total moment (μB/cell): 0.00

***

Pick version 2: it beats the second-best structure by 0.714 eV/atom.